Record 1
14
Lattice="2.025 -7.158 0.000 2.025 7.158 0.000 0.000 0.000 13.999" Properties=species:S:1:pos:R:3 comment="PuBi2Se4, relaxed, DFT PBE" m_tot_mub_per_atom=0.816 pbc="T T T"
Pu 2.025 5.443 10.499
Pu 2.025 -5.443 3.500
Bi 2.025 1.916 8.028
Bi 2.025 1.916 12.970
Bi 2.025 -1.916 1.029
Bi 2.025 -1.916 5.971
Se 0.000 0.000 0.000
Se 0.000 0.000 6.999
Se 2.025 3.063 1.702
Se 2.025 3.063 5.298
Se 2.025 0.399 10.499
Se 2.025 -0.399 3.500
Se 2.025 -3.063 8.701
Se 2.025 -3.063 12.297

---

Record 2
16
Lattice="7.478 0.000 0.000 0.000 7.478 0.000 0.000 0.000 7.478" Properties=species:S:1:pos:R:3 comment="Pu2BiSe, relaxed, DFT PBE" m_tot_mub_per_atom=2.750 e_above_lowest_polymorph_mev_per_atom=181 pbc="T T T"
Pu 1.869 1.869 1.869
Pu 1.869 1.869 5.608
Pu 1.869 5.608 1.869
Pu 1.869 5.608 5.608
Pu 5.608 1.869 1.869
Pu 5.608 1.869 5.608
Pu 5.608 5.608 1.869
Pu 5.608 5.608 5.608
Bi 0.000 0.000 0.000
Bi 0.000 3.739 3.739
Bi 3.739 0.000 3.739
Bi 3.739 3.739 0.000
Se 0.000 0.000 3.739
Se 0.000 3.739 0.000
Se 3.739 0.000 0.000
Se 3.739 3.739 3.739

---

Record 3
12
Lattice="4.228 0.000 0.000 -2.114 3.661 0.000 0.000 0.000 22.898" Properties=species:S:1:pos:R:3 comment="Pu2BiSe, relaxed, DFT PBE" m_tot_mub_per_atom=2.751 e_above_lowest_polymorph_mev_per_atom=116 pbc="T T T"
Pu 0.000 0.000 0.000
Pu 0.000 0.000 3.567
Pu 0.000 2.441 15.265
Pu 0.000 2.441 18.832
Pu 2.114 1.220 7.633
Pu 2.114 1.220 11.199
Bi 0.000 0.000 13.262
Bi 0.000 2.441 5.630
Bi 2.114 1.220 20.895
Se 0.000 0.000 9.351
Se 0.000 2.441 1.719
Se 2.114 1.220 16.984

---

Record 4
4
Lattice="3.598 0.000 0.000 0.000 3.598 0.000 0.000 0.000 7.980" Properties=species:S:1:pos:R:3 comment="Pu2BiSe, relaxed, DFT PBE" m_tot_mub_per_atom=2.992 e_above_lowest_polymorph_mev_per_atom=82 pbc="T T T"
Pu 0.000 0.000 1.767
Pu 0.000 0.000 6.213
Bi 1.799 1.799 3.990
Se 1.799 1.799 0.000

---

Record 5
11
Lattice="-2.055 7.388 4.655 2.055 -7.388 4.655 2.055 7.388 -4.655" Properties=species:S:1:pos:R:3 comment="Pu2Bi2Se7, relaxed, DFT PBE" m_tot_mub_per_atom=0.729 pbc="T T T"
Pu 0.000 3.495 0.000
Pu 0.000 11.280 0.000
Bi 0.000 0.000 2.409
Bi 0.000 7.388 2.062
Se 2.055 -2.155 1.810
Se 2.055 2.155 1.810
Se 2.055 5.608 0.113
Se 0.000 4.608 2.763
Se 0.000 1.780 4.767
Se 0.000 0.000 8.660
Se 0.000 10.167 2.763

---

Record 6
12
Lattice="3.656 -6.339 0.000 3.656 6.339 0.000 -2.452 0.000 6.898" Properties=species:S:1:pos:R:3 comment="Pu6BiSe5, relaxed, DFT PBE" m_tot_mub_per_atom=2.854 pbc="T T T"
Pu -0.071 2.217 5.106
Pu 1.097 0.000 1.766
Pu -0.071 -2.217 5.106
Pu 4.932 2.217 1.792
Pu 3.765 0.000 5.133
Pu 4.932 -2.217 1.792
Bi 3.656 0.000 0.000
Se -1.226 0.000 3.449
Se 3.656 4.217 0.000
Se 2.431 2.023 3.449
Se 2.431 -2.023 3.449
Se 3.656 -4.217 0.000

---

VASP energy, respectively: -5.780 -9.741 -9.806 -9.840 -6.283 -10.253 eV per atom.
Energy relative to the elements, uncorrected, respectively: -0.633 -0.734 -0.799 -0.833 -0.754 -1.312 eV/atom.